[1]
Below is Dy2Y6Ho5 after structural relaxation, with properties calculated at the PBE level.

Symmetry: No. 55
Total moment in μB/cell: 0.000
V in Å³/atom: 32.27
DOS at the Fermi energy in states/eV/atom: 1.2668
Energy of formation from the pure elements in eV per atom: 0.102

```
Dy2Y6Ho5
1.0
11.642 0.000 0.000
0.000 20.187 0.000
0.000 0.000 3.570
Dy Y Ho
4 12 10
direct
0.166 0.210 0.000
0.334 0.710 0.000
0.666 0.290 0.000
0.834 0.790 0.000
0.058 0.919 0.000
0.085 0.631 0.000
0.173 0.365 0.500
0.327 0.865 0.500
0.415 0.131 0.000
0.442 0.419 0.000
0.558 0.581 0.000
0.585 0.869 0.000
0.673 0.135 0.500
0.827 0.635 0.500
0.915 0.369 0.000
0.942 0.081 0.000
0.000 0.500 0.500
0.091 0.773 0.500
0.199 0.050 0.500
0.301 0.550 0.500
0.409 0.273 0.500
0.500 0.000 0.500
0.591 0.727 0.500
0.699 0.450 0.500
0.801 0.950 0.500
0.909 0.227 0.500
```

=====

[2]
Below is FeCuPt2Br after structural relaxation, with properties calculated at the PBE level.

Symmetry: No. 123
Total moment in μB/cell: 0.000
Energy relative to the elements, uncorrected in meV per atom: 1074.4
V in Å³/atom: 19.31
DOS at the Fermi energy in states/eV/atom: 1.2648

```
FeCuPt2Br
1.0
4.557 0.000 0.000
0.000 4.557 0.000
0.000 0.000 4.648
Fe Cu Pt Br
1 1 2 1
direct
0.000 0.000 0.000
0.000 0.000 0.500
0.000 0.500 0.000
0.500 0.000 0.000
0.500 0.500 0.500
```

=====

[3]
Below is SmPuNpO6 after structural relaxation, with properties calculated at the PBE level.

Symmetry: No. 163
Total moment in μB/cell: 12.000
Energy relative to the elements, uncorrected in meV per atom: -3025.1
V in Å³/atom: 15.31
DOS at the Fermi energy in states/eV/atom: 1.0098

```
SmPuNpO6
1.0
5.844 0.000 0.000
-2.922 5.061 0.000
0.000 0.000 9.316
Sm Pu Np O
2 2 2 12
direct
0.333 0.667 0.250
0.667 0.333 0.750
0.000 0.000 0.000
0.000 0.000 0.500
0.333 0.667 0.750
0.667 0.333 0.250
0.030 0.352 0.630
0.030 0.678 0.870
0.322 0.352 0.870
0.322 0.970 0.630
0.352 0.030 0.130
0.352 0.322 0.370
0.648 0.678 0.630
0.648 0.970 0.870
0.678 0.030 0.370
0.678 0.648 0.130
0.970 0.322 0.130
0.970 0.648 0.370
```

=====

[4]
Below is Sr4ZrP after structural relaxation, with properties calculated at the PBE level.

Symmetry: No. 216
Total moment in μB/cell: 3.888
V in Å³/atom: 37.94
DOS at the Fermi energy in states/eV/atom: 1.1738
Energy of formation from the pure elements in eV per atom: 0.829

```
Sr4ZrP
1.0
0.000 4.846 4.846
4.846 0.000 4.846
4.846 4.846 0.000
Sr Zr P
4 1 1
direct
0.125 0.125 0.125
0.125 0.125 0.625
0.125 0.625 0.125
0.625 0.125 0.125
0.750 0.750 0.750
0.500 0.500 0.500
```

=====

[5]
Below is YTc3Pd after structural relaxation, with properties calculated at the PBE level.

Symmetry: No. 221
Distance to the lowest polymorph of the same formula in meV/atom: 947
Total moment in μB/cell: 0.000
V in Å³/atom: 21.11
DOS at the Fermi energy in states/eV/atom: 1.5309
Energy of formation from the pure elements in eV per atom: 2.413

```
YTc3Pd
1.0
4.726 0.000 0.000
0.000 4.726 0.000
0.000 0.000 4.726
Y Tc Pd
1 3 1
direct
0.000 0.000 0.000
0.000 0.000 0.500
0.000 0.500 0.000
0.500 0.000 0.000
0.500 0.500 0.500
```

=====

[6]
Below is Dy3TmN4 after structural relaxation, with properties calculated at the PBE level.

Symmetry: No. 13
Total moment in μB/cell: 0.000
Energy relative to the elements, uncorrected in meV per atom: -1732.9
V in Å³/atom: 14.59
DOS at the Fermi energy in states/eV/atom: 0.0458

```
Dy3TmN4
1.0
5.985 0.000 0.000
0.000 6.914 0.000
-1.994 0.000 5.643
Dy Tm N
6 2 8
direct
0.000 0.124 0.250
0.000 0.374 0.750
0.000 0.626 0.250
0.000 0.876 0.750
0.500 0.374 0.250
0.500 0.626 0.750
0.500 0.124 0.750
0.500 0.876 0.250
0.251 0.373 0.502
0.251 0.627 0.002
0.253 0.123 0.000
0.253 0.877 0.500
0.747 0.123 0.500
0.747 0.877 0.000
0.749 0.373 0.998
0.749 0.627 0.498
```